Computed, not measured: a relaxed structure of CsZnHg2Au at the PBE level of DFT.

a = 5.5840 Å, b = 5.5840 Å, c = 5.1755 Å
α = 90.00°, β = 90.00°, γ = 90.00°
Fractional coordinates of all 5 atoms:
Cs1 0.0000 0.0000 0.0000
Zn1 0.5000 0.5000 0.5000
Hg1 0.0000 0.5000 0.5000
Hg2 0.5000 0.0000 0.5000
Au1 0.5000 0.5000 0.0000

## Properties
space group = No. 123
D(E_F) = 1.47 states/eV/cell
E_form = -0.1450 eV per atom
crystal system = tetragonal
total magnetic moment = 0.0 μB per formula unit
final energy = -1.3467 eV/atom
polymorph energy (0 for the lowest one) = 0.0 meV per atom
volume = 161.4 Å³/f.u.

Computed, not measured: a relaxed structure of CsZn2HgAu at the PBE level of DFT.

a = 5.1001 Å, b = 5.1001 Å, c = 5.9082 Å
α = 90.00°, β = 90.00°, γ = 90.00°
Fractional coordinates of all 5 atoms:
Cs1 0.0000 0.0000 0.0000
Zn1 0.0000 0.5000 0.5000
Zn2 0.5000 0.0000 0.5000
Hg1 0.5000 0.5000 0.0000
Au1 0.5000 0.5000 0.5000

## Properties
space group = No. 123
D(E_F) = 1.85 states/eV/cell
E_form = -0.0869 eV per atom
crystal system = tetragonal
total magnetic moment = 0.0 μB per formula unit
final energy = -1.4831 eV/atom
volume = 153.7 Å³/f.u.

Computed, not measured: a relaxed structure of Cs2ZnHgAu at the PBE level of DFT.

a = 6.8800 Å, b = 6.8800 Å, c = 5.0656 Å
α = 90.00°, β = 90.00°, γ = 90.00°
Fractional coordinates of all 5 atoms:
Cs1 0.0000 0.5000 0.0000
Cs2 0.5000 0.0000 0.0000
Zn1 0.0000 0.0000 0.5000
Hg1 0.5000 0.5000 0.5000
Au1 0.0000 0.0000 0.0000

## Properties
space group = No. 123
D(E_F) = 3.25 states/eV/cell
E_form = -0.1459 eV per atom
crystal system = tetragonal
total magnetic moment = 0.0 μB per formula unit
final energy = -1.4580 eV/atom
polymorph energy (0 for the lowest one) = 0.0 meV per atom
volume = 239.8 Å³/f.u.

Computed, not measured: a relaxed structure of Cs2ZnHg4Au2 at the PBE level of DFT.

a = 7.4060 Å, b = 7.4060 Å, c = 7.1137 Å
α = 106.69°, β = 106.69°, γ = 53.57°
Fractional coordinates of all 9 atoms:
Cs1 0.1560 0.1560 0.3927
Cs2 0.8440 0.8440 0.6073
Zn1 0.5000 0.5000 0.5000
Hg1 0.1243 0.6165 0.1229
Hg2 0.3835 0.8757 0.8771
Hg3 0.6165 0.1243 0.1229
Hg4 0.8757 0.3835 0.8771
Au1 0.4264 0.4264 0.7932
Au2 0.5736 0.5736 0.2068

## Properties
space group = No. 12
D(E_F) = 1.26 states/eV/cell
E_form = -0.1810 eV per atom
crystal system = monoclinic
total magnetic moment = 0.0 μB per formula unit
final energy = -1.3747 eV/atom
volume = 297.2 Å³/f.u.